Material: MgTaF3
Method: DFT, GGA-PBEsol
State: relaxed

```
data_MgTaF3
_cell_length_a 4.2579
_cell_length_b 4.2579
_cell_length_c 4.2579
_cell_angle_alpha 90.00
_cell_angle_beta 90.00
_cell_angle_gamma 90.00
_space_group_name_H-M_alt 'P m -3 m'
_space_group_IT_number 221
_space_group_name_Hall '-P 4 2 3'
loop_
_atom_site_label
_atom_site_fract_x
_atom_site_fract_y
_atom_site_fract_z
_atom_site_occupancy
Mg1 0.0000 0.0000 0.0000 1
Ta1 0.5000 0.5000 0.5000 1
F1 0.0000 0.5000 0.5000 1
```

## Properties
calculated density	5.64	g cm⁻³
total magnetic moment	2.240	μB/f.u.

---

Material: Fe2BiB
Method: DFT, GGA-PBEsol
State: relaxed

```
data_Fe2BiB
_cell_length_a 5.8097
_cell_length_b 5.8097
_cell_length_c 5.8097
_cell_angle_alpha 90.00
_cell_angle_beta 90.00
_cell_angle_gamma 90.00
_space_group_name_H-M_alt 'F m -3 m'
_space_group_IT_number 225
_space_group_name_Hall '-F 4 2 3'
loop_
_atom_site_label
_atom_site_fract_x
_atom_site_fract_y
_atom_site_fract_z
_atom_site_occupancy
Fe1 0.2500 0.2500 0.2500 1
Bi1 0.0000 0.0000 0.0000 1
B1 0.0000 0.0000 0.5000 1
```

## Properties
calculated density	11.23	g cm⁻³
total magnetic moment	0.000	μB/f.u.

---

Material: SrOsC3
Method: DFT, GGA-PBEsol
State: relaxed

```
data_SrOsC3
_cell_length_a 4.0239
_cell_length_b 4.0239
_cell_length_c 4.0239
_cell_angle_alpha 90.00
_cell_angle_beta 90.00
_cell_angle_gamma 90.00
_space_group_name_H-M_alt 'P m -3 m'
_space_group_IT_number 221
_space_group_name_Hall '-P 4 2 3'
loop_
_atom_site_label
_atom_site_fract_x
_atom_site_fract_y
_atom_site_fract_z
_atom_site_occupancy
Sr1 0.0000 0.0000 0.0000 1
Os1 0.5000 0.5000 0.5000 1
C1 0.0000 0.5000 0.5000 1
```

## Properties
calculated density	8.00	g cm⁻³
total magnetic moment	0.000	μB/f.u.

---

no.,E (eV/atom)
1,-5.5293
2,-6.3710
3,-7.5237